(1)
RbGa3B | Alexandria via LeMat-Bulk | GGA-PBEsol | optimized geometry; total DFT energy (no corrections) = -3.04 eV per atom
1.0
4.705 0.000 0.000
0.000 4.705 0.000
0.000 0.000 4.705
Rb Ga B
1 3 1
Cartesian
0.000 0.000 0.000
0.000 2.353 2.353
2.353 0.000 2.353
2.353 2.353 0.000
2.353 2.353 2.353

***

(2)
RbGaB2S | Alexandria via LeMat-Bulk | GGA-PBEsol | optimized geometry; total DFT energy (no corrections) = -3.19 eV per atom
1.0
4.208 0.000 0.000
0.000 4.208 0.000
0.000 0.000 6.024
Rb Ga B S
1 1 2 1
Cartesian
0.000 0.000 0.000
0.000 0.000 3.012
0.000 2.104 3.012
2.104 0.000 3.012
2.104 2.104 0.000

***

(3)
Ga3ReB | Alexandria via LeMat-Bulk | GGA-PBEsol | optimized geometry; total DFT energy (no corrections) = -4.84 eV per atom
1.0
4.767 0.000 0.000
0.000 4.767 0.000
0.000 0.000 4.767
Ga Re B
3 1 1
Cartesian
0.000 0.000 2.383
0.000 2.383 0.000
2.383 0.000 0.000
0.000 0.000 0.000
2.383 2.383 2.383

***

(4)
Ga3BRh | Alexandria via LeMat-Bulk | GGA-PBEsol | optimized geometry; total DFT energy (no corrections) = -4.55 eV per atom
1.0
4.155 0.000 0.000
0.000 4.155 0.000
0.000 0.000 4.155
Ga B Rh
3 1 1
Cartesian
0.000 0.000 2.077
0.000 2.077 0.000
2.077 0.000 0.000
0.000 0.000 0.000
2.077 2.077 2.077

***

(5)
Sc2GaB2Rh5 | Alexandria via LeMat-Bulk | GGA-PBEsol | optimized geometry; total DFT energy (no corrections) = -8.06 eV per atom
1.0
9.197 0.000 0.000
0.000 9.197 0.000
0.000 0.000 3.044
Sc Ga B Rh
4 2 4 10
Cartesian
1.607 2.992 0.000
2.992 7.590 0.000
6.205 1.607 0.000
7.590 6.205 0.000
0.000 0.000 0.000
4.598 4.598 0.000
1.146 5.744 0.000
3.453 1.146 0.000
5.744 8.051 0.000
8.051 3.453 0.000
0.000 4.598 1.522
0.651 7.210 1.522
1.987 0.651 1.522
2.611 5.249 1.522
3.948 2.611 1.522
4.598 0.000 1.522
5.249 6.586 1.522
6.586 3.948 1.522
7.210 8.546 1.522
8.546 1.987 1.522

***

(6)
Ga2BS | Alexandria via LeMat-Bulk | GGA-PBEsol | optimized geometry; total DFT energy (no corrections) = -3.73 eV per atom
1.0
0.000 3.051 3.051
3.051 0.000 3.051
3.051 3.051 0.000
Ga B S
2 1 1
Cartesian
1.525 1.525 1.525
4.576 4.576 4.576
0.000 0.000 0.000
3.051 3.051 3.051

***

(7)
GaB2Sb2 | Alexandria via LeMat-Bulk | GGA-PBEsol | optimized geometry; ΔE to the lowest computed polymorph = 310 meV per atom; total DFT energy (no corrections) = -4.32 eV per atom
1.0
7.367 0.000 0.000
0.000 7.367 0.000
0.000 0.000 3.316
Ga B Sb
2 4 4
Cartesian
0.000 0.000 0.000
3.683 3.683 0.000
0.581 3.102 1.658
3.102 6.786 1.658
4.264 0.581 1.658
6.786 4.264 1.658
1.267 4.950 0.000
2.417 1.267 0.000
4.950 6.100 0.000
6.100 2.417 0.000

***

(8)
GaB2Sb2 | Alexandria via LeMat-Bulk | GGA-PBEsol | optimized geometry; ΔE to the lowest computed polymorph = 0 meV per atom; total DFT energy (no corrections) = -4.63 eV per atom
1.0
6.985 0.000 0.000
0.000 6.985 0.000
0.000 0.000 3.679
Ga B Sb
2 4 4
Cartesian
0.000 0.000 0.000
3.492 3.492 0.000
0.576 2.917 0.000
2.917 6.409 0.000
4.068 0.576 0.000
6.409 4.068 0.000
1.526 1.966 1.840
1.966 5.458 1.840
5.019 1.526 1.840
5.458 5.019 1.840

***

(9)
Ga3BSe | Alexandria via LeMat-Bulk | GGA-PBEsol | optimized geometry; total DFT energy (no corrections) = -2.78 eV per atom
1.0
4.918 0.000 0.000
0.000 4.918 0.000
0.000 0.000 4.918
Ga B Se
3 1 1
Cartesian
0.000 0.000 2.459
0.000 2.459 0.000
2.459 0.000 0.000
2.459 2.459 2.459
0.000 0.000 0.000

***

(10)
GaSi2B2 | Alexandria via LeMat-Bulk | GGA-PBEsol | optimized geometry; total DFT energy (no corrections) = -5.03 eV per atom
1.0
6.587 0.000 0.000
0.000 6.587 0.000
0.000 0.000 2.547
Ga Si B
2 4 4
Cartesian
0.000 0.000 0.000
3.294 3.294 0.000
0.929 2.365 1.274
2.365 5.658 1.274
4.222 0.929 1.274
5.658 4.222 1.274
0.988 4.282 0.000
2.306 0.988 0.000
4.282 5.599 0.000
5.599 2.306 0.000

***

(11)
SrGaB3 | Alexandria via LeMat-Bulk | GGA-PBEsol | optimized geometry; total DFT energy (no corrections) = -4.00 eV per atom
1.0
4.249 0.000 0.000
0.000 4.249 0.000
0.000 0.000 4.249
Sr Ga B
1 1 3
Cartesian
0.000 0.000 0.000
2.125 2.125 2.125
0.000 2.125 2.125
2.125 0.000 2.125
2.125 2.125 0.000

***

(12)
GaB2Te | Alexandria via LeMat-Bulk | GGA-PBEsol | optimized geometry; total DFT energy (no corrections) = -4.61 eV per atom
1.0
-2.533 2.533 5.012
2.533 -2.533 5.012
2.533 2.533 -5.012
Ga B Te
2 4 2
Cartesian
0.000 0.000 0.000
0.000 2.533 2.506
3.800 1.164 -1.253
1.164 1.267 1.253
-1.267 1.369 3.759
1.369 1.267 6.264
2.533 0.000 2.506
0.000 0.000 5.012

***

- Which value of total DFT energy (no corrections) does entry 11 give?
  -4.00 eV per atom

***

- Which value of total DFT energy (no corrections) does entry 6 give?
  -3.73 eV per atom

***

- Which formula does entry 11 have?
  SrGaB3